Entry from Alexandria: a relaxed ZrCuCF2 crystal (PBE-GGA).

extended XYZ file:
```
5
Lattice="-0.3251 -3.4336 1.8547 4.6121 -0.2088 0.4219 -0.2289 1.8747 3.4305" Properties=species:S:1:pos:R:3 pbc="T T T"
Cu 2.0290 -0.8839 2.8535
C 0.0000 0.0000 0.0000
Zr 2.3061 -0.1044 0.2110
F -0.1626 -1.7168 0.9273
F -0.1145 0.9373 1.7152
```

Output
**Size of the total moment**: 0.00 μB/f.u.
**Space-group type**: P4/mmm, No. 123
**Calculated total energy**: -24.3 eV/f.u.